[1]
# Li5Ca4Mg GGA-PBE relaxed
# Fermi-level density of states in states/eV per cell: 6.973
# E above lowest polymorph in eV/atom: 0.000
data_Li5Ca4Mg
_chemical_formula_sum 'Li5 Ca4 Mg1'
_space_group_name_H-M_alt 'P 1'
_space_group_IT_number 1
_cell_length_a 3.8818
_cell_length_b 3.8818
_cell_length_c 19.1959
_cell_angle_alpha 90.00
_cell_angle_beta 90.00
_cell_angle_gamma 90.00
loop_
_space_group_symop_operation_xyz
'x,y,z'
loop_
_atom_site_label
_atom_site_fract_x
_atom_site_fract_y
_atom_site_fract_z
Ca1 0.0000 0.0000 0.1865
Ca2 0.0000 0.0000 0.3953
Ca3 0.0000 0.0000 0.8135
Ca4 0.0000 0.0000 0.6047
Li1 0.5000 0.5000 0.5000
Li2 0.5000 0.5000 0.7092
Li3 0.5000 0.5000 0.0769
Li4 0.5000 0.5000 0.2908
Li5 0.5000 0.5000 0.9231
Mg1 0.0000 0.0000 0.0000

---

[2]
# Li6CaMg8 GGA-PBE relaxed
# VASP energy in eV per atom: -1.7058
# Fermi-level density of states in states/eV per cell: 5.507
data_Li6CaMg8
_chemical_formula_sum 'Li6 Ca1 Mg8'
_space_group_name_H-M_alt 'P 1'
_space_group_IT_number 1
_cell_length_a 8.3531
_cell_length_b 8.3531
_cell_length_c 7.6271
_cell_angle_alpha 56.80
_cell_angle_beta 56.80
_cell_angle_gamma 60.00
loop_
_space_group_symop_operation_xyz
'x,y,z'
loop_
_atom_site_label
_atom_site_fract_x
_atom_site_fract_y
_atom_site_fract_z
Li1 0.6116 0.3795 0.8827
Li2 0.3884 0.6205 0.1173
Li3 0.6205 0.8738 0.1173
Li4 0.1262 0.6116 0.8827
Li5 0.8738 0.3884 0.1173
Li6 0.3795 0.1262 0.8827
Mg1 0.4268 0.8225 0.6090
Mg2 0.8582 0.5732 0.3910
Mg3 0.7595 0.7595 0.7214
Mg4 0.8225 0.1418 0.6090
Mg5 0.1418 0.4268 0.6090
Mg6 0.2405 0.2405 0.2786
Mg7 0.1775 0.8582 0.3910
Mg8 0.5732 0.1775 0.3910
Ca1 0.0000 0.0000 0.0000

---

[3]
# LiCa3Mg12 GGA-PBE relaxed
# VASP energy in eV per atom: -1.7212
# Fermi-level density of states in states/eV per cell: 9.948
data_LiCa3Mg12
_chemical_formula_sum 'Li1 Ca3 Mg12'
_space_group_name_H-M_alt 'P 1'
_space_group_IT_number 1
_cell_length_a 4.7372
_cell_length_b 4.7372
_cell_length_c 18.4535
_cell_angle_alpha 90.00
_cell_angle_beta 90.00
_cell_angle_gamma 90.00
loop_
_space_group_symop_operation_xyz
'x,y,z'
loop_
_atom_site_label
_atom_site_fract_x
_atom_site_fract_y
_atom_site_fract_z
Ca1 0.0000 0.0000 0.5000
Ca2 0.0000 0.0000 0.7599
Ca3 0.0000 0.0000 0.2401
Mg1 0.0000 0.5000 0.6303
Mg2 0.0000 0.5000 0.1102
Mg3 0.0000 0.5000 0.3697
Mg4 0.5000 0.5000 0.2362
Mg5 0.0000 0.5000 0.8898
Mg6 0.5000 0.0000 0.3697
Mg7 0.5000 0.0000 0.8898
Mg8 0.5000 0.5000 0.7638
Mg9 0.5000 0.0000 0.1102
Mg10 0.5000 0.5000 0.0000
Mg11 0.5000 0.0000 0.6303
Mg12 0.5000 0.5000 0.5000
Li1 0.0000 0.0000 0.0000

---

[4]
# Li5Ca2Mg GGA-PBE relaxed
# Fermi-level density of states in states/eV per cell: 4.206
# E above lowest polymorph in eV/atom: 0.152
data_Li5Ca2Mg
_chemical_formula_sum 'Li5 Ca2 Mg1'
_space_group_name_H-M_alt 'P 1'
_space_group_IT_number 1
_cell_length_a 5.2623
_cell_length_b 6.5377
_cell_length_c 6.5377
_cell_angle_alpha 90.00
_cell_angle_beta 90.00
_cell_angle_gamma 90.00
loop_
_space_group_symop_operation_xyz
'x,y,z'
loop_
_atom_site_label
_atom_site_fract_x
_atom_site_fract_y
_atom_site_fract_z
Li1 0.0000 0.7095 0.7095
Li2 0.5000 0.0000 0.0000
Li3 0.0000 0.7095 0.2905
Li4 0.0000 0.2905 0.7095
Li5 0.0000 0.2905 0.2905
Mg1 0.0000 0.0000 0.0000
Ca1 0.5000 0.0000 0.5000
Ca2 0.5000 0.5000 0.0000

---

Repeat the third record exactly.
# LiCa3Mg12 GGA-PBE relaxed
# VASP energy in eV per atom: -1.7212
# Fermi-level density of states in states/eV per cell: 9.948
data_LiCa3Mg12
_chemical_formula_sum 'Li1 Ca3 Mg12'
_space_group_name_H-M_alt 'P 1'
_space_group_IT_number 1
_cell_length_a 4.7372
_cell_length_b 4.7372
_cell_length_c 18.4535
_cell_angle_alpha 90.00
_cell_angle_beta 90.00
_cell_angle_gamma 90.00
loop_
_space_group_symop_operation_xyz
'x,y,z'
loop_
_atom_site_label
_atom_site_fract_x
_atom_site_fract_y
_atom_site_fract_z
Ca1 0.0000 0.0000 0.5000
Ca2 0.0000 0.0000 0.7599
Ca3 0.0000 0.0000 0.2401
Mg1 0.0000 0.5000 0.6303
Mg2 0.0000 0.5000 0.1102
Mg3 0.0000 0.5000 0.3697
Mg4 0.5000 0.5000 0.2362
Mg5 0.0000 0.5000 0.8898
Mg6 0.5000 0.0000 0.3697
Mg7 0.5000 0.0000 0.8898
Mg8 0.5000 0.5000 0.7638
Mg9 0.5000 0.0000 0.1102
Mg10 0.5000 0.5000 0.0000
Mg11 0.5000 0.0000 0.6303
Mg12 0.5000 0.5000 0.5000
Li1 0.0000 0.0000 0.0000